# 1
The following is a PBE calculation of a geometry-optimized KZn6Sb4 structure, from Alexandria.

Geometry as POSCAR:
```
KZn6Sb4
1.0
4.736 0.000 -0.691
-0.101 4.734 -0.691
-0.513 -0.524 13.062
K Zn Sb
1 6 4
direct
0.000 0.000 0.000
0.750 0.250 0.500
0.867 0.367 0.733
0.133 0.633 0.267
0.633 0.133 0.267
0.367 0.867 0.733
0.250 0.750 0.500
0.421 0.421 0.842
0.196 0.196 0.391
0.804 0.804 0.609
0.579 0.579 0.158
```

* volume: 26.31 Å³/atom
* D(E_F): 0.24 states/eV per atom
* ΔE_f (raw): -64.5 meV per atom
* electronic total energy: -2.36 eV/atom
* symmetry: I4/mmm (139)


# 2
The following is a PBE calculation of a geometry-optimized MgTcP structure, from Alexandria.

Geometry as POSCAR:
```
MgTcP
1.0
-1.377 -1.146 2.482
-0.269 -1.426 -2.695
4.927 -3.255 1.231
Mg P Tc
1 1 1
direct
0.000 0.000 0.001
0.667 0.333 0.373
0.333 0.667 0.627
```

* volume: 16.32 Å³/atom
* D(E_F): 0.83 states/eV per atom
* E above lowest polymorph: 0.239 eV per atom
* electronic total energy: -6.02 eV/atom
* energy of formation from the pure elements: -235 meV per atom
* symmetry: P3m1 (156)


# 3
The following is a PBE calculation of a geometry-optimized Nd7Sm16Tm6 structure, from Alexandria.

Geometry as POSCAR:
```
Nd7Sm16Tm6
1.0
9.792 0.000 5.653
3.264 9.232 5.653
0.000 0.000 11.306
Nd Sm Tm
7 16 6
direct
0.000 0.000 0.000
0.500 0.000 0.500
0.000 0.500 0.000
0.000 0.500 0.500
0.500 0.000 0.000
0.000 0.000 0.500
0.500 0.500 0.000
0.874 0.874 0.377
0.874 0.874 0.874
0.874 0.377 0.874
0.377 0.874 0.874
0.126 0.126 0.126
0.126 0.126 0.623
0.126 0.623 0.126
0.623 0.126 0.126
0.650 0.650 0.049
0.650 0.650 0.650
0.650 0.049 0.650
0.049 0.650 0.650
0.350 0.350 0.350
0.350 0.350 0.951
0.350 0.951 0.350
0.951 0.350 0.350
0.262 0.738 0.262
0.738 0.262 0.738
0.738 0.262 0.262
0.262 0.738 0.738
0.738 0.738 0.262
0.262 0.262 0.738
```

* volume: 35.24 Å³/atom
* D(E_F): 1.48 states/eV per atom
* electronic total energy: -4.44 eV/atom
* energy of formation from the pure elements: 244 meV per atom
* symmetry: Fm-3m (225)


# 4
The following is a PBE calculation of a geometry-optimized Li3AlIn structure, from Alexandria.

Geometry as POSCAR:
```
Li3AlIn
1.0
-2.581 0.003 -4.325
-4.304 -0.498 2.568
-0.427 5.012 0.258
Li Al In
3 1 1
direct
0.000 0.500 0.000
0.000 0.000 0.500
0.500 0.000 0.000
0.500 0.500 0.500
0.000 0.000 0.000
```

* volume: 25.56 Å³/atom
* D(E_F): 0.75 states/eV per atom
* E above lowest polymorph: 0.619 eV per atom
* electronic total energy: -2.05 eV/atom
* energy of formation from the pure elements: 390 meV per atom
* symmetry: Pm-3m (221)


# 5
The following is a PBE calculation of a geometry-optimized CaH3Pd2 structure, from Alexandria.

Geometry as POSCAR:
```
CaH3Pd2
1.0
-5.026 -1.562 1.327
1.944 -4.704 1.826
0.554 2.333 4.846
Ca H Pd
2 6 4
direct
0.250 0.307 0.693
0.750 0.693 0.307
0.750 0.006 0.994
0.750 0.263 0.392
0.250 0.392 0.263
0.750 0.608 0.737
0.250 0.737 0.608
0.250 0.994 0.006
0.000 0.190 0.190
0.500 0.190 0.190
0.000 0.810 0.810
0.500 0.810 0.810
```

* volume: 13.21 Å³/atom
* D(E_F): 0.18 states/eV per atom
* electronic total energy: -4.13 eV/atom
* symmetry: Cmcm (63)


# 6
The following is a PBE calculation of a geometry-optimized NaDyPb structure, from Alexandria.

Geometry as POSCAR:
```
NaDyPb
1.0
-2.803 1.194 -1.845
-1.935 -4.857 -0.203
-1.270 3.159 3.974
Pb Na Dy
1 1 1
direct
0.725 0.667 0.333
0.917 0.000 0.000
0.358 0.333 0.667
```

* volume: 28.15 Å³/atom
* D(E_F): 0.35 states/eV per atom
* electronic total energy: -3.37 eV/atom
* energy of formation from the pure elements: -164 meV per atom
* symmetry: P3m1 (156)


# 7
The following is a PBE calculation of a geometry-optimized K7Br3O2 structure, from Alexandria.

Geometry as POSCAR:
```
K7Br3O2
1.0
-1.178 -1.209 4.878
-1.441 -4.873 -1.556
13.374 -1.936 2.750
K Br O
7 3 2
direct
0.000 0.403 0.807
0.000 0.808 0.616
0.000 0.000 0.000
0.000 0.597 0.193
0.500 0.098 0.196
0.500 0.902 0.804
0.000 0.192 0.384
0.500 0.500 0.000
0.500 0.686 0.371
0.500 0.314 0.629
0.000 0.901 0.803
0.000 0.099 0.197
```

* volume: 30.93 Å³/atom
* ΔE_f (raw): -1381.4 meV per atom
* E above lowest polymorph: 0.024 eV per atom
* electronic total energy: -3.27 eV/atom
* symmetry: Cmmm (65)


# 8
The following is a PBE calculation of a geometry-optimized LaTeP structure, from Alexandria.

Geometry as POSCAR:
```
LaTeP
1.0
-2.852 3.527 -1.557
1.850 -3.140 -3.116
-3.160 -2.342 0.484
La Te P
1 1 1
direct
0.000 0.000 0.000
0.667 0.333 0.500
0.333 0.667 0.500
```

* volume: 26.30 Å³/atom
* D(E_F): 0.62 states/eV per atom
* ΔE_f (raw): -718.1 meV per atom
* electronic total energy: -5.21 eV/atom
* symmetry: P-6m2 (187)


# 9
The following is a PBE calculation of a geometry-optimized Li3AgBi2 structure, from Alexandria.

Geometry as POSCAR:
```
Li3AgBi2
1.0
-1.886 4.445 -0.613
-1.982 -3.819 -2.276
-7.335 -1.812 9.428
Li Ag Bi
6 2 4
direct
0.333 0.667 0.426
0.667 0.333 0.095
0.000 0.000 0.738
0.000 0.000 0.262
0.333 0.667 0.905
0.667 0.333 0.574
0.333 0.667 0.666
0.667 0.333 0.334
0.000 0.000 0.500
0.333 0.667 0.178
0.667 0.333 0.822
0.000 0.000 0.000
```

* volume: 20.66 Å³/atom
* D(E_F): 0.33 states/eV per atom
* E above lowest polymorph: 0.000 eV per atom
* electronic total energy: -3.05 eV/atom
* energy of formation from the pure elements: -329 meV per atom
* symmetry: P-3m1 (164)


# 10
The following is a PBE calculation of a geometry-optimized Cs3Nd2ZrS6 structure, from Alexandria.

Geometry as POSCAR:
```
Cs3Nd2ZrS6
1.0
-0.376 2.677 -6.573
-2.978 -6.287 1.452
-5.807 4.928 3.622
Cs Nd Zr S
3 2 1 6
direct
0.170 0.830 0.500
0.830 0.170 0.500
0.500 0.500 0.500
0.334 0.666 0.000
0.666 0.334 0.000
0.000 0.000 0.000
0.939 0.628 0.816
0.751 0.751 0.185
0.061 0.372 0.184
0.628 0.939 0.816
0.249 0.249 0.815
0.372 0.061 0.184
```

* volume: 29.50 Å³/atom
* D(E_F): 0.36 states/eV per atom
* ΔE_f (raw): -1654.5 meV per atom
* electronic total energy: -5.44 eV/atom
* symmetry: C2/m (12)


# 11
The following is a PBE calculation of a geometry-optimized Ac2GdPb structure, from Alexandria.

Geometry as POSCAR:
```
Ac2GdPb
1.0
-1.104 -3.994 4.238
3.148 0.061 5.022
-2.551 1.693 5.076
Pb Ac Gd
1 2 1
direct
0.500 0.500 0.500
0.250 0.250 0.250
0.750 0.750 0.750
0.000 0.000 0.000
```

* volume: 36.82 Å³/atom
* D(E_F): 1.78 states/eV per atom
* E above lowest polymorph: 0.141 eV per atom
* electronic total energy: -6.62 eV/atom
* energy of formation from the pure elements: -115 meV per atom
* symmetry: Fm-3m (225)


# 12
The following is a PBE calculation of a geometry-optimized SrZrSe2 structure, from Alexandria.

Geometry as POSCAR:
```
SrZrSe2
1.0
-0.873 5.005 3.963
-6.281 -1.388 0.369
-2.409 -2.098 7.356
Sr Se Zr
2 4 2
direct
0.500 0.500 0.000
0.250 0.750 0.500
0.675 0.125 0.250
0.075 0.625 0.250
0.375 0.325 0.750
0.875 0.925 0.750
0.000 0.000 0.000
0.750 0.250 0.500
```

* volume: 34.25 Å³/atom
* D(E_F): 0.83 states/eV per atom
* ΔE_f (raw): -1099.9 meV per atom
* E above lowest polymorph: 0.381 eV per atom
* electronic total energy: -5.40 eV/atom
* symmetry: I-42d (122)